(one)
# Hf4Sb2P, relaxed, DFT GGA-PBE
# Theoretical density ... 10.47 g/cm3
data_Hf4Sb2P
_chemical_formula_sum 'Hf8 Sb4 P2'
_cell_length_a 14.509
_cell_length_b 3.669
_cell_length_c 6.564
_cell_angle_alpha 90.00
_cell_angle_beta 116.18
_cell_angle_gamma 90.00
_symmetry_space_group_name_H-M 'C 1 2/m 1'
_symmetry_Int_Tables_number 12
loop_
_symmetry_equiv_pos_as_xyz
'x,y,z'
'-x,-y,-z'
'-x,y,-z'
'x,-y,z'
'x+1/2,y+1/2,z'
'-x+1/2,-y+1/2,-z'
'-x+1/2,y+1/2,-z'
'x+1/2,-y+1/2,z'
loop_
_atom_site_label
_atom_site_type_symbol
_atom_site_fract_x
_atom_site_fract_y
_atom_site_fract_z
Hf1 Hf 0.088 0.000 0.435
Hf2 Hf 0.102 0.500 0.916
Sb1 Sb 0.249 0.000 0.268
P1 P 0.000 0.000 0.000

(two)
# Hf4Sb2P, relaxed, DFT GGA-PBE
# Theoretical density ... 9.97 g/cm3
data_Hf4Sb2P
_chemical_formula_sum 'Hf8 Sb4 P2'
_cell_length_a 4.685
_cell_length_b 4.685
_cell_length_c 15.009
_cell_angle_alpha 90.00
_cell_angle_beta 90.00
_cell_angle_gamma 90.00
_symmetry_space_group_name_H-M 'I 4/m m m'
_symmetry_Int_Tables_number 139
_symmetry_space_group_name_Hall '-I 4 2'
loop_
_atom_site_label
_atom_site_type_symbol
_atom_site_fract_x
_atom_site_fract_y
_atom_site_fract_z
Hf1 Hf 0.000 0.000 0.167
Hf2 Hf 0.000 0.500 0.000
Sb1 Sb 0.000 0.000 0.358
P1 P 0.000 0.000 0.000

Winner for stability: (one)

(one)
# HfScP2, relaxed, DFT GGA-PBE
# Theoretical density ... 6.91 g/cm3
data_HfScP2
_chemical_formula_sum 'Hf4 Sc4 P8'
_cell_length_a 6.499
_cell_length_b 6.499
_cell_length_c 6.499
_cell_angle_alpha 90.00
_cell_angle_beta 90.00
_cell_angle_gamma 90.00
_symmetry_space_group_name_H-M 'F m -3 m'
_symmetry_Int_Tables_number 225
_symmetry_space_group_name_Hall '-F 4 2 3'
loop_
_atom_site_label
_atom_site_type_symbol
_atom_site_fract_x
_atom_site_fract_y
_atom_site_fract_z
Hf1 Hf 0.000 0.000 0.000
Sc1 Sc 0.000 0.000 0.500
P1 P 0.250 0.250 0.250

(two)
# HfScP2, relaxed, DFT GGA-PBE
# Theoretical density ... 4.71 g/cm3
data_HfScP2
_chemical_formula_sum 'Hf4 Sc4 P8'
_cell_length_a 5.883
_cell_length_b 5.883
_cell_length_c 11.640
_cell_angle_alpha 90.00
_cell_angle_beta 90.00
_cell_angle_gamma 90.00
_symmetry_space_group_name_H-M 'I -4 2 d'
_symmetry_Int_Tables_number 122
_symmetry_space_group_name_Hall 'I -4 2bw'
loop_
_atom_site_label
_atom_site_type_symbol
_atom_site_fract_x
_atom_site_fract_y
_atom_site_fract_z
Hf1 Hf 0.000 0.000 0.000
Sc1 Sc 0.000 0.000 0.500
P1 P 0.242 0.250 0.125

Winner for stability: (one)

(one)
# HfScP3, relaxed, DFT GGA-PBE
# Theoretical density ... 4.45 g/cm3
data_HfScP3
_chemical_formula_sum 'Hf1 Sc1 P3'
_cell_length_a 4.907
_cell_length_b 4.907
_cell_length_c 4.907
_cell_angle_alpha 90.00
_cell_angle_beta 90.00
_cell_angle_gamma 90.00
_symmetry_space_group_name_H-M 'P m -3 m'
_symmetry_Int_Tables_number 221
_symmetry_space_group_name_Hall '-P 4 2 3'
loop_
_atom_site_label
_atom_site_type_symbol
_atom_site_fract_x
_atom_site_fract_y
_atom_site_fract_z
Hf1 Hf 0.000 0.000 0.000
Sc1 Sc 0.500 0.500 0.500
P1 P 0.000 0.000 0.500

(two)
# HfScP3, relaxed, DFT GGA-PBE
# Theoretical density ... 4.86 g/cm3
data_HfScP3
_chemical_formula_sum 'Hf1 Sc1 P3'
_cell_length_a 4.762
_cell_length_b 4.762
_cell_length_c 4.762
_cell_angle_alpha 90.00
_cell_angle_beta 90.00
_cell_angle_gamma 90.00
_symmetry_space_group_name_H-M 'P m -3 m'
_symmetry_Int_Tables_number 221
_symmetry_space_group_name_Hall '-P 4 2 3'
loop_
_atom_site_label
_atom_site_type_symbol
_atom_site_fract_x
_atom_site_fract_y
_atom_site_fract_z
Hf1 Hf 0.000 0.000 0.000
Sc1 Sc 0.500 0.500 0.500
P1 P 0.000 0.500 0.500

Winner for stability: (one)

(one)
# HfScPW2, relaxed, DFT GGA-PBE
# Theoretical density ... 10.51 g/cm3
data_HfScPW2
_chemical_formula_sum 'Hf1 Sc1 P1 W2'
_cell_length_a 4.518
_cell_length_b 4.518
_cell_length_c 4.813
_cell_angle_alpha 90.00
_cell_angle_beta 90.00
_cell_angle_gamma 90.00
_symmetry_space_group_name_H-M 'P 4/m m m'
_symmetry_Int_Tables_number 123
_symmetry_space_group_name_Hall '-P 4 2'
loop_
_atom_site_label
_atom_site_type_symbol
_atom_site_fract_x
_atom_site_fract_y
_atom_site_fract_z
Hf1 Hf 0.000 0.000 0.000
Sc1 Sc 0.500 0.500 0.000
P1 P 0.000 0.000 0.500
W1 W 0.000 0.500 0.500

(two)
# HfScPW2, relaxed, DFT GGA-PBE
# Theoretical density ... 10.71 g/cm3
data_HfScPW2
_chemical_formula_sum 'Hf1 Sc1 P1 W2'
_cell_length_a 4.525
_cell_length_b 4.525
_cell_length_c 4.710
_cell_angle_alpha 90.00
_cell_angle_beta 90.00
_cell_angle_gamma 90.00
_symmetry_space_group_name_H-M 'P 4/m m m'
_symmetry_Int_Tables_number 123
_symmetry_space_group_name_Hall '-P 4 2'
loop_
_atom_site_label
_atom_site_type_symbol
_atom_site_fract_x
_atom_site_fract_y
_atom_site_fract_z
Hf1 Hf 0.000 0.000 0.000
Sc1 Sc 0.500 0.500 0.000
P1 P 0.500 0.500 0.500
W1 W 0.000 0.500 0.500

Winner for stability: (two)

(one)
# Hf2PSe, relaxed, DFT GGA-PBE
# Theoretical density ... 7.65 g/cm3
data_Hf2PSe
_chemical_formula_sum 'Hf8 P4 Se4'
_cell_length_a 5.882
_cell_length_b 5.882
_cell_length_c 11.722
_cell_angle_alpha 90.00
_cell_angle_beta 90.00
_cell_angle_gamma 90.00
_symmetry_space_group_name_H-M 'I -4 2 d'
_symmetry_Int_Tables_number 122
_symmetry_space_group_name_Hall 'I -4 2bw'
loop_
_atom_site_label
_atom_site_type_symbol
_atom_site_fract_x
_atom_site_fract_y
_atom_site_fract_z
Hf1 Hf 0.230 0.250 0.125
P1 P 0.000 0.000 0.000
Se1 Se 0.000 0.000 0.500

(two)
# Hf2PSe, relaxed, DFT GGA-PBE
# Theoretical density ... 10.02 g/cm3
data_Hf2PSe
_chemical_formula_sum 'Hf6 P3 Se3'
_cell_length_a 3.7474
_cell_length_b 3.7474
_cell_length_c 19.0797
_cell_angle_alpha 90.00
_cell_angle_beta 90.00
_cell_angle_gamma 120.00
_symmetry_space_group_name_H-M 'R -3 m'
_symmetry_Int_Tables_number 166
_symmetry_space_group_name_Hall '-R 3 2"'
loop_
_atom_site_label
_atom_site_type_symbol
_atom_site_fract_x
_atom_site_fract_y
_atom_site_fract_z
Hf1 Hf 0.0000 0.0000 0.2345
P1 P 0.0000 0.0000 0.5000
Se1 Se 0.0000 0.0000 0.0000

(three)
# Hf2PSe, relaxed, DFT GGA-PBE
# Theoretical density ... 10.20 g/cm3
data_Hf2PSe
_chemical_formula_sum 'Hf6 P3 Se3'
_cell_length_a 3.6529
_cell_length_b 3.6529
_cell_length_c 19.7423
_cell_angle_alpha 90.00
_cell_angle_beta 90.00
_cell_angle_gamma 120.00
_symmetry_space_group_name_H-M 'R 3 m'
_symmetry_Int_Tables_number 160
_symmetry_space_group_name_Hall 'R 3 -2"'
loop_
_atom_site_label
_atom_site_type_symbol
_atom_site_fract_x
_atom_site_fract_y
_atom_site_fract_z
Hf1 Hf 0.0000 0.0000 0.0000
Hf2 Hf 0.0000 0.0000 0.1893
P1 P 0.0000 0.0000 0.5943
Se1 Se 0.0000 0.0000 0.4257

Winner for stability: (three)

(one)
# HfSi3P, relaxed, DFT GGA-PBE
# Theoretical density ... 3.79 g/cm3
data_HfSi3P
_chemical_formula_sum 'Hf1 Si3 P1'
_cell_length_a 5.050
_cell_length_b 5.050
_cell_length_c 5.050
_cell_angle_alpha 90.00
_cell_angle_beta 90.00
_cell_angle_gamma 90.00
_symmetry_space_group_name_H-M 'P m -3 m'
_symmetry_Int_Tables_number 221
_symmetry_space_group_name_Hall '-P 4 2 3'
loop_
_atom_site_label
_atom_site_type_symbol
_atom_site_fract_x
_atom_site_fract_y
_atom_site_fract_z
Hf1 Hf 0.000 0.000 0.000
Si1 Si 0.000 0.000 0.500
P1 P 0.500 0.500 0.500

(two)
# HfSi3P, relaxed, DFT GGA-PBE
# Theoretical density ... 5.36 g/cm3
data_HfSi3P
_chemical_formula_sum 'Hf1 Si3 P1'
_cell_length_a 4.499
_cell_length_b 4.499
_cell_length_c 4.499
_cell_angle_alpha 90.00
_cell_angle_beta 90.00
_cell_angle_gamma 90.00
_symmetry_space_group_name_H-M 'P m -3 m'
_symmetry_Int_Tables_number 221
_symmetry_space_group_name_Hall '-P 4 2 3'
loop_
_atom_site_label
_atom_site_type_symbol
_atom_site_fract_x
_atom_site_fract_y
_atom_site_fract_z
Hf1 Hf 0.000 0.000 0.000
Si1 Si 0.000 0.500 0.500
P1 P 0.500 0.500 0.500

Winner for stability: (two)